Computed, not measured: a relaxed Nd2DyOs crystal at the PBE-GGA level of DFT.

Output
- magnetization (μB/f.u.) = 0.0
- ΔE to the lowest computed polymorph (eV/atom) = 0.017
- energy of formation from the pure elements (meV/atom) = -126

a b c (Å): 4.090 12.079 9.258
angles (deg): 90.00 90.00 90.00
Space group Cmcm (No. 63)
Asymmetric unit:
Nd  0.000  0.142  0.067 x8
Dy  0.000  0.420  0.250 x4
Os  0.000  0.239  0.750 x4